No. 1
A crystal of Ba3SrNi relaxed with PBEsol, computed with meta-GGA SCAN.

Structure (POSCAR):
```
Ba3SrNi
1.0
6.146 0.000 0.000
0.000 6.146 0.000
0.000 0.000 6.146
Ba Sr Ni
3 1 1
direct
0.000 0.000 0.500
0.000 0.500 0.000
0.500 0.000 0.000
0.500 0.500 0.500
0.000 0.000 0.000
```

Results
V, Å³ per cell: 232
Energy, eV per atom: -31.342
DOS at the Fermi energy, states/eV per cell: 3.8

***

No. 2
A crystal of CdTe2Se relaxed with PBEsol, computed with meta-GGA SCAN.

Structure (POSCAR):
```
CdTe2Se
1.0
3.974 0.000 0.000
0.000 4.057 0.000
0.000 0.000 7.079
Cd Te Se
1 2 1
direct
0.000 0.000 0.000
0.000 0.500 0.500
0.500 0.500 0.000
0.500 0.000 0.500
```

Results
Energy relative to the elements, uncorrected, eV/f.u.: 0.2
V, Å³ per cell: 114
DOS at the Fermi energy, states/eV per cell: 2.3

***

No. 3
A crystal of Tl2FeCoP relaxed with PBEsol, computed with meta-GGA SCAN.

Structure (POSCAR):
```
Tl2FeCoP
1.0
5.146 0.000 0.000
0.000 5.146 0.000
0.000 0.000 4.110
Tl Fe Co P
2 1 1 1
direct
0.000 0.500 0.000
0.500 0.000 0.000
0.000 0.000 0.500
0.500 0.500 0.500
0.000 0.000 0.000
```

Results
V, Å³ per cell: 109
Energy, eV per atom: -37.167
DOS at the Fermi energy, states/eV per cell: 4.0

***

No. 4
A crystal of Zn2HgW relaxed with PBEsol, computed with meta-GGA SCAN.

Structure (POSCAR):
```
Zn2HgW
1.0
1.432 0.827 9.178
-1.432 0.827 9.178
0.000 -1.654 9.178
Zn Hg W
2 1 1
direct
0.245 0.245 0.245
0.755 0.755 0.755
0.000 0.000 0.000
0.500 0.500 0.500
```

Results
V, Å³ per cell: 65
Energy, eV per atom: -40.873
DOS at the Fermi energy, states/eV per cell: 1.3

***

No. 5
A crystal of NdGePd2 relaxed with PBEsol, computed with meta-GGA SCAN.

Structure (POSCAR):
```
NdGePd2
1.0
7.527 0.000 0.000
0.000 6.989 0.000
0.000 0.000 5.656
Nd Ge Pd
4 4 8
direct
0.032 0.250 0.147
0.468 0.750 0.647
0.532 0.250 0.353
0.968 0.750 0.853
0.121 0.750 0.351
0.379 0.250 0.851
0.621 0.750 0.149
0.879 0.250 0.649
0.177 0.053 0.589
0.177 0.447 0.589
0.323 0.553 0.089
0.323 0.947 0.089
0.677 0.053 0.911
0.677 0.447 0.911
0.823 0.553 0.411
0.823 0.947 0.411
```

Results
V, Å³ per cell: 298
Energy, eV per atom: -33.036
DOS at the Fermi energy, states/eV per cell: 5.7

***

No. 6
A crystal of LaAl5Os2 relaxed with PBEsol, computed with meta-GGA SCAN.

Structure (POSCAR):
```
LaAl5Os2
1.0
-1.954 3.757 4.922
1.954 -3.757 4.922
1.954 3.757 -4.922
La Al Os
1 5 2
direct
0.000 0.000 0.000
0.155 0.342 0.812
0.470 0.658 0.812
0.500 0.000 0.500
0.530 0.342 0.188
0.845 0.658 0.188
0.253 0.753 0.500
0.747 0.247 0.500
```

Results
V, Å³ per cell: 145
Energy, eV per atom: -28.768
DOS at the Fermi energy, states/eV per cell: 3.7

***

No. 7
A crystal of Fe5B2P relaxed with PBEsol, computed with meta-GGA SCAN.

Structure (POSCAR):
```
Fe5B2P
1.0
-2.676 2.676 5.069
2.676 -2.676 5.069
2.676 2.676 -5.069
Fe B P
10 4 2
direct
0.000 0.000 0.000
0.030 0.530 0.838
0.191 0.030 0.500
0.309 0.809 0.838
0.470 0.309 0.500
0.500 0.500 0.000
0.530 0.691 0.500
0.691 0.191 0.162
0.809 0.970 0.500
0.970 0.470 0.162
0.121 0.379 0.500
0.379 0.879 0.257
0.621 0.121 0.743
0.879 0.621 0.500
0.250 0.250 0.000
0.750 0.750 0.000
```

Results
V, Å³ per cell: 145
Energy, eV per atom: -14.852
DOS at the Fermi energy, states/eV per cell: 9.3

***

No. 8
A crystal of Li2NiP4O12 relaxed with PBEsol, computed with meta-GGA SCAN.

Structure (POSCAR):
```
Li2NiP4O12
1.0
4.636 0.000 0.000
0.000 8.550 0.000
0.000 0.000 10.220
Li Ni P O
4 2 8 24
direct
0.038 0.219 0.000
0.038 0.281 0.500
0.962 0.719 0.500
0.962 0.781 0.000
0.000 0.000 0.712
0.000 0.500 0.212
0.492 0.245 0.278
0.492 0.255 0.778
0.500 0.000 0.082
0.500 0.000 0.484
0.500 0.500 0.582
0.500 0.500 0.984
0.508 0.745 0.778
0.508 0.755 0.278
0.250 0.161 0.837
0.250 0.339 0.337
0.254 0.080 0.554
0.254 0.420 0.054
0.260 0.679 0.210
0.260 0.821 0.710
0.265 0.582 0.513
0.265 0.918 0.013
0.340 0.121 0.182
0.340 0.379 0.682
0.362 0.628 0.887
0.362 0.872 0.387
0.638 0.128 0.387
0.638 0.372 0.887
0.660 0.621 0.682
0.660 0.879 0.182
0.735 0.082 0.013
0.735 0.418 0.513
0.740 0.179 0.710
0.740 0.321 0.210
0.746 0.580 0.054
0.746 0.920 0.554
0.750 0.661 0.337
0.750 0.839 0.837
```

Results
Energy relative to the elements, uncorrected, eV/f.u.: -44.0
V, Å³ per cell: 405
Polymorph energy (0 for the lowest one), meV per atom: 43
DOS at the Fermi energy, states/eV per cell: 0.0